(1)
! YTa2Cl GGA-PBE optimized geometry; values from VASP
&SYSTEM
  ibrav = 0, nat = 4, ntyp = 3
/
ATOMIC_SPECIES
Y 88.91 Y.upf
Ta 180.95 Ta.upf
Cl 35.45 Cl.upf
CELL_PARAMETERS angstrom
6.224 -1.587 0.000
6.224 1.587 0.000
-1.626 0.000 4.212
ATOMIC_POSITIONS crystal
Y 0.000 0.000 0.000
Ta 0.233 0.233 0.733
Ta 0.767 0.767 0.267
Cl 0.500 0.500 0.500
! Formation energy without anion corrections   139 meV per atom
! Symmetry   C2/m, No. 12

(2)
! BaTa3Te GGA-PBE optimized geometry; values from VASP
&SYSTEM
  ibrav = 0, nat = 5, ntyp = 3
/
ATOMIC_SPECIES
Ba 137.33 Ba.upf
Ta 180.95 Ta.upf
Te 127.60 Te.upf
CELL_PARAMETERS angstrom
5.204 0.000 0.000
0.000 5.204 0.000
0.000 0.000 5.204
ATOMIC_POSITIONS crystal
Ba 0.000 0.000 0.000
Ta 0.000 0.500 0.500
Ta 0.500 0.000 0.500
Ta 0.500 0.500 0.000
Te 0.500 0.500 0.500
! Formation energy without anion corrections   1521 meV per atom
! Symmetry   Pm-3m, No. 221